(1)
Compound: Sr2HfRh
Source: Alexandria
Functional: PBE
Structure: relaxed

```
data_Sr2HfRh
_cell_length_a 7.6281
_cell_length_b 7.6281
_cell_length_c 7.6281
_cell_angle_alpha 90.00
_cell_angle_beta 90.00
_cell_angle_gamma 90.00
_symmetry_space_group_name_H-M 'F m -3 m'
_symmetry_Int_Tables_number 225
_symmetry_space_group_name_Hall '-F 4 2 3'
loop_
_atom_site_label
_atom_site_type_symbol
_atom_site_fract_x
_atom_site_fract_y
_atom_site_fract_z
Sr1 Sr 0.2500 0.2500 0.2500
Hf1 Hf 0.0000 0.0000 0.0000
Rh1 Rh 0.0000 0.0000 0.5000
```

Computed properties:
Its energy relative to the lowest polymorph listed for this composition is 462 meV per atom. The raw total energy comes out at -71.38 eV for the cell shown. Its formation enthalpy at 0 K is 0.71 eV per atom.


(2)
Compound: Sr2HfRh2
Source: Alexandria
Functional: PBE
Structure: relaxed

```
data_Sr2HfRh2
_cell_length_a 7.0075
_cell_length_b 7.0075
_cell_length_c 5.0161
_cell_angle_alpha 90.00
_cell_angle_beta 90.00
_cell_angle_gamma 90.00
_symmetry_space_group_name_H-M 'P 4/m b m'
_symmetry_Int_Tables_number 127
_symmetry_space_group_name_Hall '-P 4 2ab'
loop_
_atom_site_label
_atom_site_type_symbol
_atom_site_fract_x
_atom_site_fract_y
_atom_site_fract_z
Sr1 Sr 0.1740 0.3260 0.0000
Hf1 Hf 0.0000 0.0000 0.5000
Rh1 Rh 0.1335 0.6335 0.5000
```

Computed properties:
Its energy relative to the lowest polymorph listed for this composition is 0 meV per atom. The raw total energy comes out at -58.42 eV for the cell shown. Its formation enthalpy at 0 K is -0.24 eV per atom.


(3)
Compound: SrHf3Rh
Source: Alexandria
Functional: PBE
Structure: relaxed

```
data_SrHf3Rh
_cell_length_a 4.9657
_cell_length_b 4.9657
_cell_length_c 4.9657
_cell_angle_alpha 90.00
_cell_angle_beta 90.00
_cell_angle_gamma 90.00
_symmetry_space_group_name_H-M 'P m -3 m'
_symmetry_Int_Tables_number 221
_symmetry_space_group_name_Hall '-P 4 2 3'
loop_
_atom_site_label
_atom_site_type_symbol
_atom_site_fract_x
_atom_site_fract_y
_atom_site_fract_z
Sr1 Sr 0.0000 0.0000 0.0000
Hf1 Hf 0.0000 0.0000 0.5000
Rh1 Rh 0.5000 0.5000 0.5000
```

Computed properties:
Its energy relative to the lowest polymorph listed for this composition is 2005 meV per atom. The raw total energy comes out at -27.83 eV for the cell shown. Its formation enthalpy at 0 K is 2.21 eV per atom.


(4)
Compound: SrHf3Rh
Source: Alexandria
Functional: PBE
Structure: relaxed

```
data_SrHf3Rh
_cell_length_a 5.1247
_cell_length_b 5.1247
_cell_length_c 5.1247
_cell_angle_alpha 90.00
_cell_angle_beta 90.00
_cell_angle_gamma 90.00
_symmetry_space_group_name_H-M 'P m -3 m'
_symmetry_Int_Tables_number 221
_symmetry_space_group_name_Hall '-P 4 2 3'
loop_
_atom_site_label
_atom_site_type_symbol
_atom_site_fract_x
_atom_site_fract_y
_atom_site_fract_z
Sr1 Sr 0.0000 0.0000 0.0000
Hf1 Hf 0.0000 0.5000 0.5000
Rh1 Rh 0.5000 0.5000 0.5000
```

Computed properties:
Its energy relative to the lowest polymorph listed for this composition is 0 meV per atom. The raw total energy comes out at -37.85 eV for the cell shown. Its formation enthalpy at 0 K is 0.21 eV per atom.


(5)
Compound: Sr2HfRh2
Source: Alexandria
Functional: PBE
Structure: relaxed

```
data_Sr2HfRh2
_cell_length_a 5.5766
_cell_length_b 5.5766
_cell_length_c 4.8028
_cell_angle_alpha 90.00
_cell_angle_beta 90.00
_cell_angle_gamma 90.00
_symmetry_space_group_name_H-M 'P 4/m m m'
_symmetry_Int_Tables_number 123
_symmetry_space_group_name_Hall '-P 4 2'
loop_
_atom_site_label
_atom_site_type_symbol
_atom_site_fract_x
_atom_site_fract_y
_atom_site_fract_z
Sr1 Sr 0.0000 0.5000 0.0000
Hf1 Hf 0.0000 0.0000 0.5000
Rh1 Rh 0.5000 0.5000 0.0000
Rh2 Rh 0.5000 0.5000 0.5000
```

Computed properties:
Its energy relative to the lowest polymorph listed for this composition is 1033 meV per atom. The raw total energy comes out at -24.04 eV for the cell shown. Its formation enthalpy at 0 K is 0.80 eV per atom.


(6)
Compound: Sr2HfRh
Source: Alexandria
Functional: PBE
Structure: relaxed

```
data_Sr2HfRh
_cell_length_a 11.3691
_cell_length_b 11.3691
_cell_length_c 4.9024
_cell_angle_alpha 90.00
_cell_angle_beta 90.00
_cell_angle_gamma 90.00
_symmetry_space_group_name_H-M 'I -4 2 d'
_symmetry_Int_Tables_number 122
_symmetry_space_group_name_Hall 'I -4 2bw'
loop_
_atom_site_label
_atom_site_type_symbol
_atom_site_fract_x
_atom_site_fract_y
_atom_site_fract_z
Sr1 Sr 0.0922 0.2500 0.1250
Hf1 Hf 0.0000 0.0000 0.5000
Rh1 Rh 0.0000 0.0000 0.0000
```

Computed properties:
Its energy relative to the lowest polymorph listed for this composition is 0 meV per atom. The raw total energy comes out at -78.77 eV for the cell shown. Its formation enthalpy at 0 K is 0.24 eV per atom.


(7)
Compound: SrHfRh
Source: Alexandria
Functional: PBE
Structure: relaxed

```
data_SrHfRh
_cell_length_a 4.5496
_cell_length_b 4.5496
_cell_length_c 7.9203
_cell_angle_alpha 90.00
_cell_angle_beta 90.00
_cell_angle_gamma 90.00
_symmetry_space_group_name_H-M 'P 4/n m m'
_symmetry_Int_Tables_number 129
loop_
_symmetry_equiv_pos_as_xyz
'x,y,z'
'-x,-y,-z'
'-y+1/2,x,z'
'y+1/2,-x,-z'
'-x+1/2,-y+1/2,z'
'x+1/2,y+1/2,-z'
'y,-x+1/2,z'
'-y,x+1/2,-z'
'x+1/2,-y,-z'
'-x+1/2,y,z'
'-y,-x,-z'
'y,x,z'
'-x,y+1/2,-z'
'x,-y+1/2,z'
'y+1/2,x+1/2,-z'
'-y+1/2,-x+1/2,z'
loop_
_atom_site_label
_atom_site_type_symbol
_atom_site_fract_x
_atom_site_fract_y
_atom_site_fract_z
Sr1 Sr 0.2500 0.2500 0.1489
Hf1 Hf 0.2500 0.7500 0.5000
Rh1 Rh 0.2500 0.2500 0.6752
```

Computed properties:
The raw total energy comes out at -41.05 eV for the cell shown. Its formation enthalpy at 0 K is -0.51 eV per atom.


(8)
Compound: SrHfTeRh2
Source: Alexandria
Functional: PBE
Structure: relaxed

```
data_SrHfTeRh2
_cell_length_a 5.0152
_cell_length_b 5.0152
_cell_length_c 5.2221
_cell_angle_alpha 90.00
_cell_angle_beta 90.00
_cell_angle_gamma 90.00
_symmetry_space_group_name_H-M 'P 4/m m m'
_symmetry_Int_Tables_number 123
_symmetry_space_group_name_Hall '-P 4 2'
loop_
_atom_site_label
_atom_site_type_symbol
_atom_site_fract_x
_atom_site_fract_y
_atom_site_fract_z
Sr1 Sr 0.0000 0.0000 0.0000
Hf1 Hf 0.5000 0.5000 0.0000
Te1 Te 0.5000 0.5000 0.5000
Rh1 Rh 0.0000 0.5000 0.5000
```

Computed properties:
The calculation puts the formation energy (no corrections) at 31.6 kJ per mole of atoms. The raw total energy comes out at -27.84 eV for the cell shown.


(9)
Compound: SrHf2TiRh
Source: Alexandria
Functional: PBE
Structure: relaxed

```
data_SrHf2TiRh
_cell_length_a 4.8392
_cell_length_b 4.8392
_cell_length_c 5.4403
_cell_angle_alpha 90.00
_cell_angle_beta 90.00
_cell_angle_gamma 90.00
_symmetry_space_group_name_H-M 'P 4/m m m'
_symmetry_Int_Tables_number 123
_symmetry_space_group_name_Hall '-P 4 2'
loop_
_atom_site_label
_atom_site_type_symbol
_atom_site_fract_x
_atom_site_fract_y
_atom_site_fract_z
Sr1 Sr 0.0000 0.0000 0.0000
Hf1 Hf 0.0000 0.5000 0.5000
Ti1 Ti 0.0000 0.0000 0.5000
Rh1 Rh 0.5000 0.5000 0.0000
```

Computed properties:
The raw total energy comes out at -31.23 eV for the cell shown. Its formation enthalpy at 0 K is 1.12 eV per atom.


(10)
Compound: Hf3TaRh
Source: Alexandria
Functional: PBE
Structure: relaxed

```
data_Hf3TaRh
_cell_length_a 4.9901
_cell_length_b 4.9901
_cell_length_c 4.9901
_cell_angle_alpha 90.00
_cell_angle_beta 90.00
_cell_angle_gamma 90.00
_symmetry_space_group_name_H-M 'P m -3 m'
_symmetry_Int_Tables_number 221
_symmetry_space_group_name_Hall '-P 4 2 3'
loop_
_atom_site_label
_atom_site_type_symbol
_atom_site_fract_x
_atom_site_fract_y
_atom_site_fract_z
Hf1 Hf 0.0000 0.0000 0.5000
Ta1 Ta 0.0000 0.0000 0.0000
Rh1 Rh 0.5000 0.5000 0.5000
```

Computed properties:
Its energy relative to the lowest polymorph listed for this composition is 630 meV per atom. The raw total energy comes out at -42.97 eV for the cell shown. Its formation enthalpy at 0 K is 1.22 eV per atom.


(11)
Compound: Hf2TaRh
Source: Alexandria
Functional: PBE
Structure: relaxed

```
data_Hf2TaRh
_cell_length_a 7.4976
_cell_length_b 7.4976
_cell_length_c 5.7325
_cell_angle_alpha 90.00
_cell_angle_beta 90.00
_cell_angle_gamma 90.00
_symmetry_space_group_name_H-M 'I -4 2 d'
_symmetry_Int_Tables_number 122
_symmetry_space_group_name_Hall 'I -4 2bw'
loop_
_atom_site_label
_atom_site_type_symbol
_atom_site_fract_x
_atom_site_fract_y
_atom_site_fract_z
Hf1 Hf 0.2148 0.2500 0.1250
Ta1 Ta 0.0000 0.0000 0.5000
Rh1 Rh 0.0000 0.0000 0.0000
```

Computed properties:
Its energy relative to the lowest polymorph listed for this composition is 575 meV per atom. The raw total energy comes out at -154.37 eV for the cell shown. Its formation enthalpy at 0 K is 0.13 eV per atom.


(12)
Compound: Hf2TaRh
Source: Alexandria
Functional: PBE
Structure: relaxed

```
data_Hf2TaRh
_cell_length_a 3.2753
_cell_length_b 3.2753
_cell_length_c 6.9686
_cell_angle_alpha 90.00
_cell_angle_beta 90.00
_cell_angle_gamma 90.00
_symmetry_space_group_name_H-M 'P 4/m m m'
_symmetry_Int_Tables_number 123
_symmetry_space_group_name_Hall '-P 4 2'
loop_
_atom_site_label
_atom_site_type_symbol
_atom_site_fract_x
_atom_site_fract_y
_atom_site_fract_z
Hf1 Hf 0.0000 0.0000 0.2348
Ta1 Ta 0.5000 0.5000 0.5000
Rh1 Rh 0.5000 0.5000 0.0000
```

Computed properties:
Its energy relative to the lowest polymorph listed for this composition is 0 meV per atom. The raw total energy comes out at -40.90 eV for the cell shown. Its formation enthalpy at 0 K is -0.45 eV per atom.


Which value of raw total energy does entry 1 give? -71.38 eV for the cell shown